This record from Alexandria describes crystalline ZnCrO2 at its relaxed geometry. The functional is PBE+U.

Its energy is -24.25 eV per cell. Its volume is 47 Å³/cell.

Cell lengths 6.3335, 6.3335, 6.3335 Å; angles 27.22, 27.22, 27.22 degrees
Positions (direct):
Zn  0.0000  0.0000  0.0000
Cr  0.5000  0.5000  0.5000
O  0.1101  0.1101  0.1101
O  0.8899  0.8899  0.8899